1.
A plane-wave DFT calculation with GGA-PBE was carried out for La6Sn2Rh after structural relaxation.

## Properties
**Symmetry**: Amm2
**Size of the total moment**: 0.01 μB per formula unit
**Energy relative to the elements**: -522 kJ/mol of formula units

```
9
Lattice="-0.120 3.253 -2.937 -6.944 3.278 3.914 7.887 2.481 2.425" Properties=species:S:1:pos:R:3 pbc="T T T"
Rh -0.065 1.629 -1.466
La -2.380 6.359 3.867
La -5.069 3.867 4.490
La -4.130 3.548 0.826
La 0.720 4.390 4.833
La -1.652 0.780 0.931
La 0.331 4.009 1.154
Sn 2.944 2.746 2.921
Sn -1.999 3.012 3.418
```

***

2.
A plane-wave DFT calculation with GGA-PBE was carried out for La2Sn2Rh after structural relaxation.

## Properties
**Symmetry**: P4/mbm
**Size of the total moment**: 0.00 μB per formula unit
**Energy relative to the elements**: -339 kJ/mol of formula units

```
10
Lattice="-3.501 0.889 -6.310 -4.394 -5.551 1.656 -3.206 3.203 2.230" Properties=species:S:1:pos:R:3 pbc="T T T"
Sn -5.827 -2.816 -4.332
Sn -2.068 -1.847 -0.321
Sn -2.889 -0.228 -3.826
Sn -5.005 -4.434 -0.827
La -5.969 0.501 -3.581
La -7.597 -2.419 -1.728
La -5.132 -1.961 1.158
La -3.504 0.959 -0.696
Rh 0.000 0.000 0.000
Rh -3.947 -2.331 -2.327
```